A.
5
Lattice="-3.155 -1.227 1.872 2.160 -2.518 1.990 0.305 1.773 5.672" Properties=species:S:1:pos:R:3 comment="MgFe2Os2 | the Alexandria database | GGA-PBE | relaxed" density_g_cm3=10.845 magmom_total_mub_per_atom=0.7544 pbc="T T T"
Mg 0.000 0.000 0.000
Os -0.316 -1.048 2.777
Os -0.374 -0.924 6.757
Fe -1.674 -0.664 4.738
Fe 0.984 -1.309 4.796



B.
10
Lattice="7.281 0.000 0.000 0.000 7.281 0.000 0.000 0.000 2.636" Properties=species:S:1:pos:R:3 comment="MgFe2Os2 | the Alexandria database | GGA-PBE | relaxed" density_g_cm3=12.273 magmom_total_mub_per_atom=0.0000 pbc="T T T"
Mg 0.000 0.000 0.000
Mg 3.640 3.640 0.000
Os 2.717 6.357 0.000
Os 6.357 4.564 0.000
Os 4.564 0.924 0.000
Os 0.924 2.717 0.000
Fe 1.207 4.847 1.318
Fe 4.847 6.074 1.318
Fe 6.074 2.433 1.318
Fe 2.433 1.207 1.318



Stability ranking, top and bottom: B is the most stable and A is the least stable.



A.
5
Lattice="-1.163 -3.937 0.940 3.365 -0.397 2.501 -2.250 1.442 3.255" Properties=species:S:1:pos:R:3 comment="MgFe3P | the Alexandria database | GGA-PBE | relaxed" density_g_cm3=4.954 magmom_total_mub_per_atom=0.0910 pbc="T T T"
P -0.024 -1.446 3.348
Mg 0.000 0.000 0.000
Fe 1.682 -0.199 1.251
Fe -1.125 0.721 1.628
Fe -0.582 -1.968 0.470



B.
5
Lattice="-0.632 4.059 0.835 -3.944 -0.849 1.138 1.271 -0.614 3.947" Properties=species:S:1:pos:R:3 comment="MgFe3P | the Alexandria database | GGA-PBE | relaxed" density_g_cm3=5.024 magmom_total_mub_per_atom=1.0782 pbc="T T T"
P 0.000 0.000 0.000
Mg -1.653 1.298 2.960
Fe -1.972 -0.424 0.569
Fe 0.635 -0.307 1.973
Fe -0.316 2.029 0.418



Stability ranking, top and bottom: B is the most stable and A is the least stable.



A.
5
Lattice="4.729 0.000 0.000 0.000 4.729 0.000 0.000 0.000 4.131" Properties=species:S:1:pos:R:3 comment="MgFePS2 | the Alexandria database | GGA-PBE | relaxed" density_g_cm3=3.150 magmom_total_mub_per_atom=0.3139 pbc="T T T"
Mg 2.365 2.365 2.065
P 0.000 0.000 2.065
S 0.000 2.365 0.000
S 2.365 0.000 0.000
Fe 0.000 0.000 0.000



B.
5
Lattice="4.720 0.000 0.000 0.000 4.720 0.000 0.000 0.000 4.782" Properties=species:S:1:pos:R:3 comment="MgFePS2 | the Alexandria database | GGA-PBE | relaxed" density_g_cm3=2.731 magmom_total_mub_per_atom=0.6031 pbc="T T T"
Mg 0.000 0.000 0.000
P 0.000 0.000 2.391
S 0.000 2.360 0.000
S 2.360 0.000 0.000
Fe 2.360 2.360 2.391



Stability ranking, top and bottom: A is the most stable and B is the least stable.